Record 1
Below is an optimized crystal structure of CaAcDyHg, with properties calculated at the PBE-GGA level.

For the formation energy, the calculation gives 0.06 eV/atom. The total DFT energy (no corrections) comes out at -43.0 eV for the cell shown. The calculation puts the density at 8.00 g cm⁻³. The value obtained for the density of states at the Fermi level is 18.02 states/eV/cell.

The space group is F-43m (No. 216) and the conventional cell measures 8.057, 8.057 and 8.057 Å, with angles of 90.00, 90.00 and 90.00 degrees. The inequivalent atoms are Ca at (0.000, 0.000, 0.000), Ac at (0.250, 0.250, 0.750), Dy at (0.000, 0.000, 0.500) and Hg at (0.250, 0.250, 0.250).

***

Record 2
Below is an optimized crystal structure of CuSn2OsAu, with properties calculated at the PBE-GGA level.

For the formation energy, the calculation gives 1.55 eV/atom. The total DFT energy (no corrections) comes out at -18.9 eV for the cell shown. The calculation puts the density at 8.17 g cm⁻³. The value obtained for the density of states at the Fermi level is 5.77 states/eV/cell.

The space group is P4/mmm (No. 123) and the conventional cell measures 5.219, 5.219 and 5.133 Å, with angles of 90.00, 90.00 and 90.00 degrees. The inequivalent atoms are Cu at (0.000, 0.000, 0.000), Sn at (0.000, 0.500, 0.500), Os at (0.500, 0.500, 0.000) and Au at (0.500, 0.500, 0.500).

***

Record 3
Below is an optimized crystal structure of Bi2RuRhSe, with properties calculated at the PBE-GGA level.

The total DFT energy (no corrections) comes out at -23.5 eV for the cell shown. The calculation puts the density at 8.76 g cm⁻³. The value obtained for the density of states at the Fermi level is 4.63 states/eV/cell. Its uncorrected formation energy is 877 meV/atom.

The space group is P4/mmm (No. 123) and the conventional cell measures 5.383, 5.383 and 4.585 Å, with angles of 90.00, 90.00 and 90.00 degrees. The inequivalent atoms are Bi at (0.000, 0.500, 0.000), Ru at (0.000, 0.000, 0.500), Rh at (0.500, 0.500, 0.000) and Se at (0.500, 0.500, 0.500).